Ca2Ac5La | PBE | relaxed

Results
formation energy: 0.0226 eV per atom
density: 6.47 g/cm³
total DFT energy (no corrections): -3.66 eV per atom

Cell and atoms, written as CIF:
```
data_Ca2Ac5La
_symmetry_space_group_name_H-M 'P 1'
_symmetry_Int_Tables_number 1
_symmetry_space_group_name_Hall 'P 1'
_cell_length_a 5.605
_cell_length_b 5.605
_cell_length_c 11.747
_cell_angle_alpha 103.80
_cell_angle_beta 103.80
_cell_angle_gamma 90.00
loop_
_atom_site_label
_atom_site_type_symbol
_atom_site_fract_x
_atom_site_fract_y
_atom_site_fract_z
Ca1 Ca 0.750 0.750 0.500
Ca2 Ca 0.250 0.250 0.500
Ac1 Ac 0.500 0.500 0.000
Ac2 Ac 0.379 0.879 0.757
Ac3 Ac 0.879 0.379 0.757
Ac4 Ac 0.621 0.121 0.243
Ac5 Ac 0.121 0.621 0.243
La1 La 0.000 0.000 0.000
```

---

BaZrSi2O8 | PBE | relaxed

Results
raw formation energy: -2.5864 eV per atom
density: 3.48 g/cm³
total DFT energy (no corrections): -7.67 eV per atom

Cell and atoms, written as CIF:
```
data_BaZrSi2O8
_symmetry_space_group_name_H-M 'P 1'
_symmetry_Int_Tables_number 1
_symmetry_space_group_name_Hall 'P 1'
_cell_length_a 5.502
_cell_length_b 5.502
_cell_length_c 7.513
_cell_angle_alpha 90.00
_cell_angle_beta 90.00
_cell_angle_gamma 120.00
loop_
_atom_site_label
_atom_site_type_symbol
_atom_site_fract_x
_atom_site_fract_y
_atom_site_fract_z
Ba1 Ba 0.000 0.000 0.000
Zr1 Zr 0.000 0.000 0.500
Si1 Si 0.667 0.333 0.258
Si2 Si 0.333 0.667 0.742
O1 O 0.333 0.667 0.962
O2 O 0.342 0.172 0.325
O3 O 0.828 0.170 0.325
O4 O 0.667 0.333 0.038
O5 O 0.172 0.830 0.675
O6 O 0.658 0.828 0.675
O7 O 0.170 0.342 0.675
O8 O 0.830 0.658 0.325
```

---

CaOs3S | PBE | relaxed

Results
raw formation energy: 0.6794 eV per atom
density: 12.32 g/cm³
ΔE to the lowest computed polymorph: 0.000 eV/atom
total DFT energy (no corrections): -7.28 eV per atom

Cell and atoms, written as CIF:
```
data_CaOs3S
_symmetry_space_group_name_H-M 'P 1'
_symmetry_Int_Tables_number 1
_symmetry_space_group_name_Hall 'P 1'
_cell_length_a 4.425
_cell_length_b 4.425
_cell_length_c 4.425
_cell_angle_alpha 90.00
_cell_angle_beta 90.00
_cell_angle_gamma 90.00
loop_
_atom_site_label
_atom_site_type_symbol
_atom_site_fract_x
_atom_site_fract_y
_atom_site_fract_z
Ca1 Ca 0.500 0.500 0.500
Os1 Os 0.000 0.500 0.000
Os2 Os 0.000 0.000 0.500
Os3 Os 0.500 0.000 0.000
S1 S 0.000 0.000 0.000
```

---

HfTlSe2I | PBE | relaxed

Results
raw formation energy: -0.4031 eV per atom
density: 6.58 g/cm³
total DFT energy (no corrections): -4.57 eV per atom

Cell and atoms, written as CIF:
```
data_HfTlSe2I
_symmetry_space_group_name_H-M 'P 1'
_symmetry_Int_Tables_number 1
_symmetry_space_group_name_Hall 'P 1'
_cell_length_a 5.066
_cell_length_b 6.564
_cell_length_c 5.066
_cell_angle_alpha 90.00
_cell_angle_beta 90.00
_cell_angle_gamma 90.00
loop_
_atom_site_label
_atom_site_type_symbol
_atom_site_fract_x
_atom_site_fract_y
_atom_site_fract_z
I1 I 0.500 0.500 0.500
Tl1 Tl 0.000 0.500 0.000
Hf1 Hf 0.000 0.000 0.000
Se1 Se 0.000 0.000 0.500
Se2 Se 0.500 0.000 0.000
```

---

PuTh2Sc | PBE | relaxed

Results
formation energy: 0.0911 eV per atom
density: 10.95 g/cm³
ΔE to the lowest computed polymorph: 0.025 eV/atom
total DFT energy (no corrections): -8.78 eV per atom

Cell and atoms, written as CIF:
```
data_PuTh2Sc
_symmetry_space_group_name_H-M 'P 1'
_symmetry_Int_Tables_number 1
_symmetry_space_group_name_Hall 'P 1'
_cell_length_a 3.539
_cell_length_b 3.539
_cell_length_c 9.120
_cell_angle_alpha 90.00
_cell_angle_beta 90.00
_cell_angle_gamma 90.00
loop_
_atom_site_label
_atom_site_type_symbol
_atom_site_fract_x
_atom_site_fract_y
_atom_site_fract_z
Sc1 Sc 0.500 0.500 0.000
Th1 Th 0.000 0.000 0.750
Th2 Th 0.000 0.000 0.250
Pu1 Pu 0.500 0.500 0.500
```

---

Ga3FeMo | PBE | relaxed

Results
formation energy: 0.6346 eV per atom
density: 6.97 g/cm³
ΔE to the lowest computed polymorph: 0.000 eV/atom
total DFT energy (no corrections): -5.04 eV per atom

Cell and atoms, written as CIF:
```
data_Ga3FeMo
_symmetry_space_group_name_H-M 'P 1'
_symmetry_Int_Tables_number 1
_symmetry_space_group_name_Hall 'P 1'
_cell_length_a 4.414
_cell_length_b 4.414
_cell_length_c 4.414
_cell_angle_alpha 90.00
_cell_angle_beta 90.00
_cell_angle_gamma 90.00
loop_
_atom_site_label
_atom_site_type_symbol
_atom_site_fract_x
_atom_site_fract_y
_atom_site_fract_z
Mo1 Mo 0.500 0.500 0.500
Fe1 Fe 0.000 0.000 0.000
Ga1 Ga 0.000 0.500 0.000
Ga2 Ga 0.000 0.000 0.500
Ga3 Ga 0.500 0.000 0.000
```

---

KLiTlBrF | PBE | relaxed

Results
raw formation energy: -1.4905 eV per atom
density: 4.21 g/cm³
ΔE to the lowest computed polymorph: 0.022 eV/atom
total DFT energy (no corrections): -3.27 eV per atom

Cell and atoms, written as CIF:
```
data_KLiTlBrF
_symmetry_space_group_name_H-M 'P 1'
_symmetry_Int_Tables_number 1
_symmetry_space_group_name_Hall 'P 1'
_cell_length_a 5.055
_cell_length_b 3.798
_cell_length_c 14.632
_cell_angle_alpha 90.00
_cell_angle_beta 101.46
_cell_angle_gamma 90.00
loop_
_atom_site_label
_atom_site_type_symbol
_atom_site_fract_x
_atom_site_fract_y
_atom_site_fract_z
K1 K 0.100 0.000 0.712
K2 K 0.100 0.500 0.212
Li1 Li 0.567 0.000 0.367
Li2 Li 0.567 0.500 0.867
Tl1 Tl 0.072 0.000 0.975
Tl2 Tl 0.072 0.500 0.475
Br1 Br 0.584 0.000 0.183
Br2 Br 0.584 0.500 0.683
F1 F 0.481 0.000 0.877
F2 F 0.481 0.500 0.377
```

---

ZrNi2Ag | PBE | relaxed

Results
formation energy: -0.1733 eV per atom
density: 8.52 g/cm³
ΔE to the lowest computed polymorph: 0.018 eV/atom
total DFT energy (no corrections): -5.91 eV per atom

Cell and atoms, written as CIF:
```
data_ZrNi2Ag
_symmetry_space_group_name_H-M 'P 1'
_symmetry_Int_Tables_number 1
_symmetry_space_group_name_Hall 'P 1'
_cell_length_a 3.280
_cell_length_b 3.331
_cell_length_c 5.648
_cell_angle_alpha 90.00
_cell_angle_beta 90.00
_cell_angle_gamma 90.00
loop_
_atom_site_label
_atom_site_type_symbol
_atom_site_fract_x
_atom_site_fract_y
_atom_site_fract_z
Ag1 Ag 0.500 0.500 0.750
Ni1 Ni 0.000 0.000 0.004
Ni2 Ni 0.000 0.000 0.496
Zr1 Zr 0.500 0.500 0.250
```

---

BaMg4Cl | PBE | relaxed

Results
raw formation energy: -0.1598 eV per atom
density: 2.40 g/cm³
total DFT energy (no corrections): -1.85 eV per atom

Cell and atoms, written as CIF:
```
data_BaMg4Cl
_symmetry_space_group_name_H-M 'P 1'
_symmetry_Int_Tables_number 1
_symmetry_space_group_name_Hall 'P 1'
_cell_length_a 6.414
_cell_length_b 6.414
_cell_length_c 6.414
_cell_angle_alpha 60.00
_cell_angle_beta 60.00
_cell_angle_gamma 60.00
loop_
_atom_site_label
_atom_site_type_symbol
_atom_site_fract_x
_atom_site_fract_y
_atom_site_fract_z
Ba1 Ba 0.750 0.750 0.750
Mg1 Mg 0.873 0.376 0.376
Mg2 Mg 0.376 0.376 0.873
Mg3 Mg 0.376 0.873 0.376
Mg4 Mg 0.376 0.376 0.376
Cl1 Cl 0.000 0.000 0.000
```

---

Nd6Cd2Os | PBE | relaxed

Results
formation energy: -0.0919 eV per atom
density: 7.28 g/cm³
ΔE to the lowest computed polymorph: 0.000 eV/atom
total DFT energy (no corrections): -4.72 eV per atom

Cell and atoms, written as CIF:
```
data_Nd6Cd2Os
_symmetry_space_group_name_H-M 'P 1'
_symmetry_Int_Tables_number 1
_symmetry_space_group_name_Hall 'P 1'
_cell_length_a 7.073
_cell_length_b 7.588
_cell_length_c 10.878
_cell_angle_alpha 90.00
_cell_angle_beta 89.01
_cell_angle_gamma 90.00
loop_
_atom_site_label
_atom_site_type_symbol
_atom_site_fract_x
_atom_site_fract_y
_atom_site_fract_z
Nd1 Nd 0.903 0.002 0.252
Nd2 Nd 0.808 0.684 0.540
Nd3 Nd 0.825 0.695 0.959
Nd4 Nd 0.675 0.195 0.541
Nd5 Nd 0.692 0.184 0.960
Nd6 Nd 0.597 0.502 0.248
Nd7 Nd 0.097 0.998 0.748
Nd8 Nd 0.192 0.316 0.460
Nd9 Nd 0.175 0.305 0.041
Nd10 Nd 0.325 0.805 0.459
Nd11 Nd 0.308 0.816 0.040
Nd12 Nd 0.403 0.498 0.752
Cd1 Cd 0.949 0.407 0.749
Cd2 Cd 0.551 0.907 0.751
Cd3 Cd 0.449 0.093 0.249
Cd4 Cd 0.051 0.593 0.251
Os1 Os 0.500 0.500 0.000
Os2 Os 0.000 0.000 0.500
```

---

NdTlSiS4 | PBE | relaxed

Results
raw formation energy: -1.1801 eV per atom
density: 4.59 g/cm³
total DFT energy (no corrections): -5.33 eV per atom

Cell and atoms, written as CIF:
```
data_NdTlSiS4
_symmetry_space_group_name_H-M 'P 1'
_symmetry_Int_Tables_number 1
_symmetry_space_group_name_Hall 'P 1'
_cell_length_a 6.581
_cell_length_b 6.577
_cell_length_c 8.831
_cell_angle_alpha 90.00
_cell_angle_beta 106.91
_cell_angle_gamma 90.00
loop_
_atom_site_label
_atom_site_type_symbol
_atom_site_fract_x
_atom_site_fract_y
_atom_site_fract_z
Nd1 Nd 0.767 0.750 0.447
Nd2 Nd 0.233 0.250 0.553
Tl1 Tl 0.734 0.750 0.930
Tl2 Tl 0.266 0.250 0.070
Si1 Si 0.219 0.750 0.321
Si2 Si 0.781 0.250 0.679
S1 S 0.995 0.502 0.717
S2 S 0.005 0.002 0.283
S3 S 0.005 0.498 0.283
S4 S 0.995 0.998 0.717
S5 S 0.413 0.750 0.168
S6 S 0.587 0.250 0.832
S7 S 0.402 0.750 0.565
S8 S 0.598 0.250 0.435
```

---

CsTa2Rh | PBE | relaxed

Results
formation energy: 1.4841 eV per atom
density: 7.77 g/cm³
ΔE to the lowest computed polymorph: 0.114 eV/atom
total DFT energy (no corrections): -6.49 eV per atom

Cell and atoms, written as CIF:
```
data_CsTa2Rh
_symmetry_space_group_name_H-M 'P 1'
_symmetry_Int_Tables_number 1
_symmetry_space_group_name_Hall 'P 1'
_cell_length_a 5.425
_cell_length_b 5.425
_cell_length_c 9.490
_cell_angle_alpha 73.39
_cell_angle_beta 73.39
_cell_angle_gamma 90.00
loop_
_atom_site_label
_atom_site_type_symbol
_atom_site_fract_x
_atom_site_fract_y
_atom_site_fract_z
Cs1 Cs 0.000 0.000 0.000
Cs2 Cs 0.750 0.250 0.500
Rh1 Rh 0.500 0.500 0.000
Rh2 Rh 0.250 0.750 0.500
Ta1 Ta 0.375 0.125 0.250
Ta2 Ta 0.375 0.625 0.250
Ta3 Ta 0.375 0.625 0.750
Ta4 Ta 0.875 0.625 0.750
```

---

> Which of these has the lowest total DFT energy (no corrections)?

PuTh2Sc